# 1
First-principles (PBE-GGA) data for SnTeOsN2 after structural relaxation, as listed in the Alexandria database.

Output
ΔE_f (raw) in eV/atom: 2.009
Symmetry: P4/mmm, No. 123
M_tot in μB/f.u.: 4.42
E above lowest polymorph in eV/f.u.: 5.94

a b c (Å): 4.018 4.018 6.401
angles (deg): 90.00 90.00 90.00
Element x y z (fractional)
Te 0.000 0.000 0.500
Os 0.500 0.500 0.500
Sn 0.000 0.000 0.000
N 0.000 0.500 0.000
N 0.500 0.000 0.000

=====

# 2
First-principles (PBE-GGA) data for SnTeOsN2 after structural relaxation, as listed in the Alexandria database.

Output
ΔE_f (raw) in eV/atom: 0.822
Symmetry: P4/mmm, No. 123
M_tot in μB/f.u.: 0.00
E above lowest polymorph in eV/f.u.: 0.00

a b c (Å): 4.000 4.000 5.635
angles (deg): 90.00 90.00 90.00
Element x y z (fractional)
Te 0.000 0.000 0.500
Os 0.000 0.000 0.000
Sn 0.500 0.500 0.500
N 0.000 0.500 0.000
N 0.500 0.000 0.000

=====

# 3
First-principles (PBE-GGA) data for Y2SnOsN after structural relaxation, as listed in the Alexandria database.

Output
ΔE_f (raw) in eV/atom: 0.760
Symmetry: P4/mmm, No. 123
M_tot in μB/f.u.: 0.00

a b c (Å): 5.310 4.950 5.310
angles (deg): 90.00 90.00 90.00
Element x y z (fractional)
Y 0.000 0.000 0.500
Y 0.500 0.000 0.000
Os 0.000 0.000 0.000
Sn 0.000 0.500 0.000
N 0.500 0.500 0.500

=====

# 4
First-principles (PBE-GGA) data for Sr3Os3N5 after structural relaxation, as listed in the Alexandria database.

Output
ΔE_f (raw) in eV/atom: -0.135
Symmetry: P-1, No. 2
M_tot in μB/f.u.: 0.00

a b c (Å): 5.937 7.193 9.557
angles (deg): 110.64 105.05 92.23
Element x y z (fractional)
Sr 0.822 0.421 0.616
Sr 0.178 0.579 0.384
Sr 0.661 0.866 0.894
Sr 0.339 0.134 0.106
Sr 0.661 0.692 0.213
Sr 0.339 0.308 0.787
Os 0.884 0.325 0.970
Os 0.116 0.675 0.030
Os 0.646 0.915 0.589
Os 0.354 0.085 0.411
Os 0.093 0.872 0.709
Os 0.907 0.128 0.291
N 0.898 0.106 0.783
N 0.102 0.894 0.217
N 0.822 0.704 0.501
N 0.178 0.296 0.499
N 0.731 0.541 0.927
N 0.269 0.459 0.073
N 0.359 0.903 0.645
N 0.641 0.097 0.355
N 0.125 0.757 0.864
N 0.875 0.243 0.136

=====

Number 1: energy -4.9956 eV per atom. Number 2: energy -6.1828 eV per atom. Number 3: energy -6.5369 eV per atom. Number 4: energy -7.4410 eV per atom.